Si2AsPtN | GGA-PBEsol | optimized geometry

Its density of states at the Fermi level is 0.44 states/eV per atom. As for the total magnetic moment: 0.0 μB/cell. As for the uncorrected formation energy: 524 meV per atom. The calculation puts the raw total energy at -29.47 eV/cell.

a = 4.1104 Å, b = 4.1104 Å, c = 4.1698 Å
α = 90.00°, β = 90.00°, γ = 90.00°
Atoms (fractional coordinates):
Si 0.0000 0.5000 0.0000
Si 0.5000 0.0000 0.0000
As 0.0000 0.0000 0.5000
Pt 0.5000 0.5000 0.5000
N 0.5000 0.5000 0.0000